LiPr2Ag | PBE | relaxed

For the formation energy, the calculation gives -0.053 eV per atom. The value obtained for the density of states at the Fermi level is 4.76 states/eV/f.u. The calculation puts the distance to the lowest polymorph of the same formula at 0.31 kcal/mol of atoms.

The structure belongs to space group Fm-3m (No. 225); the cell edges are 7.5994, 7.5994 and 7.5994 Å and the angles 90.00°, 90.00° and 90.00°. Symmetry generates all atoms from Li at (0.0000, 0.0000, 0.0000), Pr at (0.2500, 0.2500, 0.2500) and Ag at (0.0000, 0.0000, 0.5000).